# 1
Computed, not measured: a relaxed structure of Ce2Pr2Pb5 at the PBE level of DFT.

total DFT energy (no corrections): -4.82 eV/atom
M_tot: 1.10 μB per formula unit
formation enthalpy at 0 K: -383 meV/atom

a = 8.622 Å, b = 8.528 Å, c = 8.757 Å
α = 119.14°, β = 90.00°, γ = 90.00°
Last column: magnetic moment on the atom in μB.
Element x y z (fractional)
Pb: 0.187 0.448 0.272  0.00
Pb: 0.187 0.176 0.728  0.00
Pr: 0.000 0.788 0.575  -0.01
Pb: 0.000 0.000 0.000  0.01
Pb: 0.687 0.052 0.728  0.00
Pb: 0.687 0.324 0.272  0.00
Pb: 0.500 0.500 0.000  0.01
Pr: 0.500 0.712 0.425  -0.01
Ce: 0.616 0.883 0.000  0.50
Pb: 0.313 0.948 0.272  0.00
Pr: 0.500 0.288 0.575  -0.01
Ce: 0.116 0.617 0.000  0.50
Pr: 0.000 0.212 0.425  -0.01
Pb: 0.313 0.676 0.728  0.00
Pb: 0.813 0.824 0.272  0.00
Ce: 0.884 0.383 0.000  0.50
Pb: 0.813 0.552 0.728  0.00
Ce: 0.384 0.117 0.000  0.50

# 2
Computed, not measured: a relaxed structure of Fe2HgPt at the PBE level of DFT.

total DFT energy (no corrections): -5.64 eV/atom
M_tot: 6.01 μB per formula unit
formation enthalpy at 0 K: 182 meV/atom

a = 4.806 Å, b = 4.806 Å, c = 4.806 Å
α = 131.32°, β = 131.27°, γ = 71.34°
Last column: magnetic moment on the atom in μB.
Element x y z (fractional)
Pt: 0.250 0.750 0.500  0.24
Hg: 0.750 0.250 0.500  -0.04
Fe: 0.500 0.500 0.000  2.91
Fe: 0.000 0.000 0.000  2.91

# 3
Computed, not measured: a relaxed structure of La4Tb15Nd at the PBE level of DFT.

total DFT energy (no corrections): -4.67 eV/atom
M_tot: 0.00 μB per formula unit
formation enthalpy at 0 K: 24 meV/atom

a = 5.113 Å, b = 5.113 Å, c = 25.388 Å
α = 90.00°, β = 90.00°, γ = 90.00°
Element x y z (fractional)
Tb: 0.500 0.500 0.199
Nd: 0.000 0.000 0.000
Tb: 0.500 0.000 0.300
Tb: 0.000 0.500 0.099
Tb: 0.500 0.500 0.801
Tb: 0.500 0.000 0.500
La: 0.000 0.000 0.200
Tb: 0.500 0.000 0.700
Tb: 0.500 0.500 0.000
La: 0.000 0.000 0.800
Tb: 0.500 0.500 0.600
La: 0.000 0.000 0.600
Tb: 0.000 0.500 0.700
Tb: 0.000 0.500 0.901
Tb: 0.500 0.000 0.901
Tb: 0.000 0.500 0.300
Tb: 0.500 0.000 0.099
Tb: 0.000 0.500 0.500
La: 0.000 0.000 0.400
Tb: 0.500 0.500 0.400

# 4
Computed, not measured: a relaxed structure of NaErTh2 at the PBE level of DFT.

total DFT energy (no corrections): -4.95 eV/atom
M_tot: 0.00 μB per formula unit
formation enthalpy at 0 K: 228 meV/atom

a = 3.468 Å, b = 3.468 Å, c = 13.129 Å
α = 82.41°, β = 82.41°, γ = 60.00°
Element x y z (fractional)
Er: 0.500 0.500 0.500
Th: 0.092 0.092 0.725
Th: 0.908 0.908 0.275
Na: 0.000 0.000 0.000

Q: M_tot of number 3 (La4Tb15Nd)?
A: 0.00 μB per formula unit